A plane-wave DFT calculation with GGA-PBEsol was carried out for a relaxed Sr2SeF crystal.

a b c (Å): 5.051 5.051 5.051
angles (deg): 60.00 60.00 60.00
Positions (direct):
Sr (0.250, 0.250, 0.250)
Sr (0.750, 0.750, 0.750)
Se (0.500, 0.500, 0.500)
F (0.000, 0.000, 0.000)

Spin magnetization, μB per cell: 0.00
Space-group type: Fm-3m (225)
VASP energy, Ry per atom: -0.3155
Volume, Å³/cell: 91
Uncorrected formation energy, eV per formula unit: -7.71